1.
Mg3HgCl: optimized geometry, PBE.

## Properties
Density of states at the Fermi level in states/eV per cell: 2.7
Magnetic moment in μB/cell: 0.00
Electronic total energy in eV per cell: -7.88
Distance to the lowest polymorph of the same formula in meV per atom: 0
SG: No. 221

```
Mg3HgCl
1.0
5.292 0.000 0.000
0.000 5.292 0.000
0.000 0.000 5.292
Mg Hg Cl
3 1 1
direct
0.000 0.000 0.500
0.000 0.500 0.000
0.500 0.000 0.000
0.000 0.000 0.000
0.500 0.500 0.500
```


2.
Mg2HgCl: optimized geometry, PBE.

## Properties
Density of states at the Fermi level in states/eV per cell: 3.0
Magnetic moment in μB/cell: 0.00
Electronic total energy in eV per cell: -5.83
Distance to the lowest polymorph of the same formula in meV per atom: 510
SG: No. 216

```
Mg2HgCl
1.0
0.000 3.722 3.722
3.722 0.000 3.722
3.722 3.722 0.000
Mg Hg Cl
2 1 1
direct
0.000 0.000 0.000
0.250 0.250 0.250
0.500 0.500 0.500
0.750 0.750 0.750
```


3.
Mg2Hg2Cl: optimized geometry, PBE.

## Properties
Density of states at the Fermi level in states/eV per cell: 2.9
Magnetic moment in μB/cell: 0.00
Electronic total energy in eV per cell: -6.73
Distance to the lowest polymorph of the same formula in meV per atom: 199
SG: No. 139

```
Mg2Hg2Cl
1.0
-2.108 2.108 7.394
2.108 -2.108 7.394
2.108 2.108 -7.394
Mg Hg Cl
2 2 1
direct
0.101 0.101 0.000
0.899 0.899 0.000
0.250 0.750 0.500
0.750 0.250 0.500
0.500 0.500 0.000
```


4.
Mg2HgCl: optimized geometry, PBE.

## Properties
Density of states at the Fermi level in states/eV per cell: 0.9
Magnetic moment in μB/cell: 0.00
Electronic total energy in eV per cell: -7.87
Distance to the lowest polymorph of the same formula in meV per atom: 0
SG: No. 47

```
Mg2HgCl
1.0
3.286 0.000 0.000
0.000 3.656 0.000
0.000 0.000 7.568
Mg Hg Cl
2 1 1
direct
0.000 0.000 0.221
0.000 0.000 0.779
0.500 0.500 0.000
0.500 0.000 0.500
```


Question: electronic total energy of number 4 (Mg2HgCl)?
Answer: -7.87 eV per cell


Repeat the first record exactly.
Mg3HgCl: optimized geometry, PBE.

## Properties
Density of states at the Fermi level in states/eV per cell: 2.7
Magnetic moment in μB/cell: 0.00
Electronic total energy in eV per cell: -7.88
Distance to the lowest polymorph of the same formula in meV per atom: 0
SG: No. 221

```
Mg3HgCl
1.0
5.292 0.000 0.000
0.000 5.292 0.000
0.000 0.000 5.292
Mg Hg Cl
3 1 1
direct
0.000 0.000 0.500
0.000 0.500 0.000
0.500 0.000 0.000
0.000 0.000 0.000
0.500 0.500 0.500
```